Record 1
The following is a PBE-GGA calculation of a relaxed Ho2GaCo crystal, from Alexandria.

Values from the calculation:
Theoretical density (g cm⁻³): 8.860
E_form (eV per atom): -0.411
Energy (eV per atom): -5.23
Symmetry: P2_1/m

a = 5.9619 Å, b = 3.6686 Å, c = 8.3819 Å
α = 90.00°, β = 110.37°, γ = 90.00°
Element x y z (fractional)
1 Ho 0.1917 0.2500 0.4029
2 Ho 0.2635 0.7500 0.0515
3 Ho 0.7365 0.2500 0.9485
4 Ho 0.8083 0.7500 0.5971
5 Ga 0.3510 0.7500 0.7136
6 Ga 0.6490 0.2500 0.2864
7 Co 0.1194 0.2500 0.7908
8 Co 0.8806 0.7500 0.2092


Record 2
The following is a PBE-GGA calculation of a relaxed Pm2PdCl crystal, from Alexandria.

Values from the calculation:
Theoretical density (g cm⁻³): 7.494
Energy (eV per atom): -5.09
Symmetry: P4/mmm
Formation energy from raw total energies (meV per atom): -957

a = 3.4223 Å, b = 3.4223 Å, c = 8.1707 Å
α = 90.00°, β = 90.00°, γ = 90.00°
Element x y z (fractional)
1 Pm 0.0000 0.0000 0.2291
2 Pm 0.0000 0.0000 0.7709
3 Pd 0.5000 0.5000 0.0000
4 Cl 0.5000 0.5000 0.5000


Record 3
The following is a PBE-GGA calculation of a relaxed Nb2Ga2Hg crystal, from Alexandria.

Values from the calculation:
Theoretical density (g cm⁻³): 9.920
E_form (eV per atom): 0.003
Energy (eV per atom): -5.30
Symmetry: P4/mbm

a = 6.9017 Å, b = 6.9017 Å, c = 3.6960 Å
α = 90.00°, β = 90.00°, γ = 90.00°
Element x y z (fractional)
1 Nb 0.1749 0.3251 0.0000
2 Nb 0.3251 0.8251 0.0000
3 Nb 0.6749 0.1749 0.0000
4 Nb 0.8251 0.6749 0.0000
5 Ga 0.1251 0.6251 0.5000
6 Ga 0.3749 0.1251 0.5000
7 Ga 0.6251 0.8749 0.5000
8 Ga 0.8749 0.3749 0.5000
9 Hg 0.0000 0.0000 0.5000
10 Hg 0.5000 0.5000 0.5000


Record 4
The following is a PBE-GGA calculation of a relaxed Ba2SrTlCl crystal, from Alexandria.

Values from the calculation:
Theoretical density (g cm⁻³): 4.699
Energy (eV per atom): -2.67
Symmetry: P4/mmm
Formation energy from raw total energies (meV per atom): -721

a = 6.0884 Å, b = 6.0884 Å, c = 5.7404 Å
α = 90.00°, β = 90.00°, γ = 90.00°
Element x y z (fractional)
1 Ba 0.0000 0.5000 0.0000
2 Ba 0.5000 0.0000 0.0000
3 Sr 0.0000 0.0000 0.5000
4 Tl 0.5000 0.5000 0.5000
5 Cl 0.0000 0.0000 0.0000


Question: Which value of theoretical density does entry 2 give?
Answer: 7.494 g cm⁻³


What did the first record say?
The following is a PBE-GGA calculation of a relaxed Ho2GaCo crystal, from Alexandria.

Values from the calculation:
Theoretical density (g cm⁻³): 8.860
E_form (eV per atom): -0.411
Energy (eV per atom): -5.23
Symmetry: P2_1/m

a = 5.9619 Å, b = 3.6686 Å, c = 8.3819 Å
α = 90.00°, β = 110.37°, γ = 90.00°
Element x y z (fractional)
1 Ho 0.1917 0.2500 0.4029
2 Ho 0.2635 0.7500 0.0515
3 Ho 0.7365 0.2500 0.9485
4 Ho 0.8083 0.7500 0.5971
5 Ga 0.3510 0.7500 0.7136
6 Ga 0.6490 0.2500 0.2864
7 Co 0.1194 0.2500 0.7908
8 Co 0.8806 0.7500 0.2092